(1)
VASP calculation (PBE-GGA) on a relaxed structure of Dy4GaIr2.

a b c (Å): 6.9061 6.9732 8.3656
angles (deg): 107.88 107.58 105.40
Last column: nearest neighbours and their distance in Å.
Positions (direct):
Ir 0.8293 0.8607 0.4324  1 Ga 2.67, 5 Dy 2.73-2.87
Dy 0.8573 0.5952 0.1092  3 Ir 2.74-2.87, 1 Ga 2.94
Dy 0.2781 0.1824 0.8108  3 Ir 2.78-3.02, 1 Ga 2.97
Dy 0.9985 0.2348 0.3908  3 Ir 2.73-2.87, 1 Ga 2.94
Ga 0.2041 0.7966 0.4871  1 Ir 2.67, 2 Dy 2.94-2.97
Ir 0.4602 0.3356 0.5660  7 Dy 2.78-3.02
Ir 0.6480 0.1784 0.0674  1 Ga 2.67, 5 Dy 2.74-2.88
Dy 0.4171 0.5120 0.2838  3 Ir 2.81-2.99
Dy 0.8884 0.6545 0.6827  3 Ir 2.84-2.87, 1 Ga 3.05
Dy 0.7180 0.1223 0.6904  3 Ir 2.78-3.01, 1 Ga 2.97
Dy 0.3848 0.9785 0.2165  3 Ir 2.81-2.99
Ga 0.9668 0.0572 0.0127  1 Ir 2.67, 2 Dy 2.94-2.97
Dy 0.4551 0.7216 0.8163  3 Ir 2.84-2.88, 1 Ga 3.06
Ir 0.1444 0.5202 0.9340  7 Dy 2.78-3.01

- ΔE to the lowest computed polymorph: 0.026 eV/atom
- Total magnetic moment: 0.000 μB per atom
- Space-group type: P1
- Formation energy: -0.6843 eV per atom

(2)
VASP calculation (PBE-GGA) on a relaxed structure of Dy3Ga3Ir.

a b c (Å): 4.1641 5.7951 13.9197
angles (deg): 83.68 81.40 68.94
Last column: nearest neighbours and their distance in Å.
Positions (direct):
Dy 0.6102 0.7025 0.0772  7 Ga 3.04-3.15
Dy 0.5270 0.3277 0.6182  7 Ga 3.02-3.36, 3 Ir 3.09-3.12
Dy 0.7375 0.7625 0.7625  2 Ir 2.95, 6 Ga 3.08-3.14
Ga 0.8548 0.7552 0.5353  3 Ir 2.53-2.71
Ga 0.1452 0.2448 0.4647  3 Ir 2.53-2.71
Ir 0.7614 0.0947 0.3825  4 Ga 2.53-2.71
Ga 0.1073 0.8602 0.9253  2 Ga 2.63-2.65
Ga 0.8927 0.1398 0.0747  2 Ga 2.63-2.65
Dy 0.2625 0.2375 0.2375  2 Ir 2.95, 6 Ga 3.08-3.14
Ga 0.9761 0.8193 0.2286  1 Ga 2.65, 1 Ir 2.66
Ir 0.2386 0.9053 0.6175  4 Ga 2.53-2.71
Ga 0.0239 0.1807 0.7714  1 Ga 2.65, 1 Ir 2.66
Dy 0.4730 0.6723 0.3818  7 Ga 3.02-3.36, 3 Ir 3.09-3.12
Dy 0.3898 0.2975 0.9228  7 Ga 3.04-3.15

- Total magnetic moment: 0.000 μB per atom
- Space-group type: C2/m
- Formation energy: -0.7234 eV per atom

(3)
VASP calculation (PBE-GGA) on a relaxed structure of Dy3Ga3Ir2.

a b c (Å): 5.5852 7.8578 15.1751
angles (deg): 90.00 90.00 90.00
Last column: nearest neighbours and their distance in Å.
Positions (direct):
Dy 0.1114 0.4609 0.1090  3 Ir 2.98-3.09, 7 Ga 3.05-3.27
Ir 0.1229 0.8880 0.8911  4 Ga 2.51-2.59
Ga 0.6277 0.3350 0.7500  2 Ir 2.59
Ga 0.3969 0.6776 0.9636  3 Ir 2.51-2.59
Dy 0.8886 0.5391 0.6090  3 Ir 2.98-3.09, 7 Ga 3.05-3.27
Ir 0.3771 0.3880 0.8911  4 Ga 2.51-2.59
Ga 0.1277 0.1650 0.2500  2 Ir 2.59
Ir 0.3771 0.3880 0.6089  4 Ga 2.51-2.59
Ga 0.8969 0.8224 0.4636  3 Ir 2.51-2.59
Ga 0.3969 0.6776 0.5364  3 Ir 2.51-2.59
Ir 0.8771 0.1120 0.1089  4 Ga 2.51-2.59
Ga 0.6031 0.3224 0.4636  3 Ir 2.51-2.59
Dy 0.3886 0.9609 0.1090  3 Ir 2.98-3.09, 7 Ga 3.05-3.27
Ga 0.8723 0.8350 0.7500  2 Ir 2.59
Dy 0.1316 0.1754 0.7500  5 Ga 3.04-3.25, 4 Ir 3.04-3.11
Ir 0.1229 0.8880 0.6089  4 Ga 2.51-2.59
Dy 0.6114 0.0391 0.6090  3 Ir 2.98-3.09, 7 Ga 3.05-3.27
Ir 0.6229 0.6120 0.3911  4 Ga 2.51-2.59
Ga 0.6031 0.3224 0.0364  3 Ir 2.51-2.59
Dy 0.6316 0.3246 0.2500  5 Ga 3.04-3.25, 4 Ir 3.04-3.11
Dy 0.6114 0.0391 0.8910  3 Ir 2.98-3.09, 7 Ga 3.05-3.27
Ga 0.1031 0.1776 0.9636  3 Ir 2.51-2.59
Ir 0.8771 0.1120 0.3911  4 Ga 2.51-2.59
Ga 0.3723 0.6650 0.2500  2 Ir 2.59
Dy 0.8684 0.8246 0.2500  5 Ga 3.04-3.25, 4 Ir 3.04-3.11
Dy 0.3886 0.9609 0.3910  3 Ir 2.98-3.09, 7 Ga 3.05-3.27
Dy 0.8886 0.5391 0.8910  3 Ir 2.98-3.09, 7 Ga 3.05-3.27
Dy 0.1114 0.4609 0.3910  3 Ir 2.98-3.09, 7 Ga 3.05-3.27
Ir 0.6229 0.6120 0.1089  4 Ga 2.51-2.59
Ga 0.8969 0.8224 0.0364  3 Ir 2.51-2.59
Ga 0.1031 0.1776 0.5364  3 Ir 2.51-2.59
Dy 0.3684 0.6754 0.7500  5 Ga 3.04-3.25, 4 Ir 3.04-3.11

- Total magnetic moment: 0.000 μB per atom
- Space-group type: Pnma
- Formation energy: -0.7756 eV per atom

(4)
VASP calculation (PBE-GGA) on a relaxed structure of Dy8GaIr2.

a b c (Å): 5.4948 7.8204 7.8204
angles (deg): 113.12 97.75 97.75
Last column: nearest neighbours and their distance in Å.
Positions (direct):
Ir 0.4989 0.6933 0.3128  8 Dy 2.85-3.04
Dy 0.1960 0.3823 0.3823  2 Ir 3.03, 1 Ga 3.18, 3 Dy 3.36-3.38
Dy 0.5839 0.0737 0.3327  2 Ir 2.85-2.89
Dy 0.4097 0.9325 0.6732  2 Ir 2.86-2.89
Ir 0.4989 0.3128 0.6933  8 Dy 2.85-3.04
Dy 0.9988 0.2423 0.7623  2 Ir 2.89-2.90, 1 Ga 3.13
Ga 0.0180 0.0027 0.0027  6 Dy 3.13-3.50
Dy 0.5839 0.3327 0.0737  2 Ir 2.85-2.89
Dy 0.9988 0.7623 0.2423  2 Ir 2.89-2.90, 1 Ga 3.13
Dy 0.4097 0.6732 0.9325  2 Ir 2.86-2.89
Dy 0.8032 0.6263 0.6263  2 Ir 3.04, 1 Ga 3.17, 3 Dy 3.36-3.39

- Total magnetic moment: 0.000 μB per atom
- Space-group type: Cm
- Formation energy: -0.4143 eV per atom

(5)
VASP calculation (PBE-GGA) on a relaxed structure of Dy2GaIr.

a b c (Å): 3.2438 3.2438 10.1277
angles (deg): 80.78 80.78 60.00
Last column: nearest neighbours and their distance in Å.
Positions (direct):
Dy 0.9128 0.9128 0.2617  1 Ir 2.60
Ga 0.5000 0.5000 0.5000  6 Dy 3.02, 6 Ga 3.24
Ir 0.0000 0.0000 0.0000  2 Dy 2.60
Dy 0.0872 0.0872 0.7383  1 Ir 2.60

- Total magnetic moment: 0.000 μB per atom
- Space-group type: R-3m
- Formation energy: 0.1050 eV per atom

(6)
VASP calculation (PBE-GGA) on a relaxed structure of DyGaIr2.

a b c (Å): 3.2928 3.2928 6.3443
angles (deg): 90.00 90.00 90.00
Last column: nearest neighbours and their distance in Å.
Positions (direct):
Ir 0.0000 0.0000 0.2196  4 Ga 2.71, 1 Ir 2.79, 4 Dy 2.93
Dy 0.5000 0.5000 0.5000  8 Ir 2.93, 2 Ga 3.17
Ir 0.0000 0.0000 0.7804  4 Ga 2.71, 1 Ir 2.79, 4 Dy 2.93
Ga 0.5000 0.5000 0.0000  8 Ir 2.71

- Total magnetic moment: 0.000 μB per atom
- Space-group type: P4/mmm
- Formation energy: -0.5501 eV per atom

(7)
VASP calculation (PBE-GGA) on a relaxed structure of Dy3Ga2Ir7.

a b c (Å): 5.4667 5.4667 8.8037
angles (deg): 71.91 71.91 60.00
Last column: nearest neighbours and their distance in Å.
Positions (direct):
Ga 0.6643 0.6643 0.0072  6 Ir 2.55-2.60
Ir 0.9247 0.4141 0.2472  2 Ga 2.55-2.60, 5 Ir 2.63-2.79
Dy 0.8591 0.8591 0.4228  12 Ir 3.09-3.22, 3 Dy 3.40
Ir 0.4141 0.9247 0.2472  2 Ga 2.55-2.60, 5 Ir 2.63-2.79
Ga 0.3357 0.3357 0.9928  6 Ir 2.55-2.60
Ir 0.5859 0.5859 0.7528  2 Ga 2.55-2.60, 5 Ir 2.63-2.79
Ir 0.0753 0.5859 0.7528  2 Ga 2.55-2.60, 5 Ir 2.63-2.79
Dy 0.1409 0.1409 0.5772  12 Ir 3.09-3.22, 3 Dy 3.40
Ir 0.5000 0.5000 0.5000  6 Ir 2.63
Ir 0.5859 0.0753 0.7528  2 Ga 2.55-2.60, 5 Ir 2.63-2.79
Dy 0.0000 0.0000 0.0000  6 Ga 3.16, 12 Ir 3.41, 2 Dy 3.47
Ir 0.4141 0.4141 0.2472  2 Ga 2.55-2.60, 5 Ir 2.63-2.79

- Total magnetic moment: 0.000 μB per atom
- Space-group type: R-3m
- Formation energy: -0.7448 eV per atom

(8)
VASP calculation (PBE-GGA) on a relaxed structure of Dy5GaIr2.

a b c (Å): 7.7232 7.7232 8.5612
angles (deg): 116.81 116.81 90.00
Last column: nearest neighbours and their distance in Å.
Positions (direct):
Ir 0.8616 0.6384 0.0000  8 Dy 2.84-2.99, 1 Ir 3.02
Dy 0.2007 0.0237 0.7245  3 Ir 2.84-2.95
Ir 0.1384 0.3616 0.0000  8 Dy 2.84-2.99, 1 Ir 3.02
Dy 0.2993 0.7993 0.2755  3 Ir 2.84-2.95
Ir 0.6384 0.1384 0.0000  8 Dy 2.84-2.99, 1 Ir 3.02
Dy 0.5237 0.7007 0.7245  3 Ir 2.84-2.95
Ga 0.2500 0.2500 0.5000  10 Dy 3.25-3.30
Dy 0.7993 0.9763 0.2755  3 Ir 2.84-2.95
Dy 0.0000 0.0000 0.0000  4 Ir 2.99, 2 Ga 3.30
Dy 0.4763 0.2993 0.2755  3 Ir 2.84-2.95
Dy 0.9763 0.4763 0.2755  3 Ir 2.84-2.95
Dy 0.5000 0.5000 0.0000  4 Ir 2.99, 2 Ga 3.30
Dy 0.7007 0.2007 0.7245  3 Ir 2.84-2.95
Dy 0.0237 0.5237 0.7245  3 Ir 2.84-2.95
Ga 0.7500 0.7500 0.5000  10 Dy 3.25-3.30
Ir 0.3616 0.8616 0.0000  8 Dy 2.84-2.99, 1 Ir 3.02

- Total magnetic moment: 0.000 μB per atom
- Space-group type: I4/mcm
- Formation energy: -0.6863 eV per atom

(9)
VASP calculation (PBE-GGA) on a relaxed structure of Dy2Ga2Ir.

a b c (Å): 4.1166 5.7678 9.8882
angles (deg): 81.19 77.99 69.09
Last column: nearest neighbours and their distance in Å.
Positions (direct):
Dy 0.3099 0.2582 0.1221  2 Ir 2.96, 6 Ga 3.08-3.16
Dy 0.5056 0.3182 0.6706  7 Ga 3.02-3.37, 3 Ir 3.05-3.14
Dy 0.4944 0.6818 0.3294  7 Ga 3.02-3.37, 3 Ir 3.05-3.14
Ga 0.8497 0.7495 0.5511  3 Ir 2.52-2.71
Dy 0.6901 0.7418 0.8779  2 Ir 2.96, 6 Ga 3.08-3.16
Ga 0.1503 0.2505 0.4489  3 Ir 2.52-2.71
Ga 0.9731 0.1634 0.8904  1 Ga 2.64, 1 Ir 2.67
Ir 0.7848 0.0990 0.3315  4 Ga 2.52-2.71
Ga 0.0269 0.8366 0.1096  1 Ga 2.64, 1 Ir 2.67
Ir 0.2152 0.9010 0.6685  4 Ga 2.52-2.71

- Total magnetic moment: 0.000 μB per atom
- Space-group type: C2/m
- Formation energy: -0.7662 eV per atom

(10)
VASP calculation (PBE-GGA) on a relaxed structure of Dy3Ga2Ir2.

a b c (Å): 5.5614 7.7916 13.7136
angles (deg): 90.00 90.00 90.00
Last column: nearest neighbours and their distance in Å.
Positions (direct):
Ga 0.1179 0.8913 0.2500  2 Ir 2.57
Dy 0.3790 0.2651 0.7500  4 Ir 3.01-3.17, 3 Ga 3.02-3.05
Ir 0.6494 0.0361 0.5936  3 Ga 2.57-2.64
Dy 0.1509 0.6003 0.4019  4 Ir 2.90-3.04, 3 Ga 3.04-3.24
Ga 0.6372 0.7500 0.5000  4 Ir 2.57-2.64
Ir 0.6494 0.0361 0.9064  3 Ga 2.57-2.64
Dy 0.1509 0.8997 0.9019  4 Ir 2.90-3.04, 3 Ga 3.04-3.24
Dy 0.1509 0.8997 0.5981  4 Ir 2.90-3.04, 3 Ga 3.04-3.24
Ir 0.6494 0.4639 0.4064  3 Ga 2.57-2.64
Dy 0.6210 0.7651 0.7500  4 Ir 3.01-3.17, 3 Ga 3.02-3.05
Ga 0.8821 0.1087 0.7500  2 Ir 2.57
Dy 0.3790 0.2349 0.2500  4 Ir 3.01-3.17, 3 Ga 3.02-3.05
Ga 0.1179 0.6087 0.7500  2 Ir 2.57
Ga 0.3628 0.2500 0.0000  4 Ir 2.57-2.64
Dy 0.6210 0.7349 0.2500  4 Ir 3.01-3.17, 3 Ga 3.02-3.05
Ga 0.3628 0.2500 0.5000  4 Ir 2.57-2.64
Ir 0.6494 0.4639 0.0936  3 Ga 2.57-2.64
Dy 0.8491 0.3997 0.9019  4 Ir 2.90-3.04, 3 Ga 3.04-3.24
Ir 0.3506 0.5361 0.9064  3 Ga 2.57-2.64
Dy 0.8491 0.3997 0.5981  4 Ir 2.90-3.04, 3 Ga 3.04-3.24
Ir 0.3506 0.9639 0.0936  3 Ga 2.57-2.64
Dy 0.1509 0.6003 0.0981  4 Ir 2.90-3.04, 3 Ga 3.04-3.24
Dy 0.8491 0.1003 0.0981  4 Ir 2.90-3.04, 3 Ga 3.04-3.24
Ga 0.6372 0.7500 0.0000  4 Ir 2.57-2.64
Ir 0.3506 0.9639 0.4064  3 Ga 2.57-2.64
Ir 0.3506 0.5361 0.5936  3 Ga 2.57-2.64
Dy 0.8491 0.1003 0.4019  4 Ir 2.90-3.04, 3 Ga 3.04-3.24
Ga 0.8821 0.3913 0.2500  2 Ir 2.57

- Total magnetic moment: 0.000 μB per atom
- Space-group type: Pbcm
- Formation energy: -0.8295 eV per atom

(11)
VASP calculation (PBE-GGA) on a relaxed structure of Dy2GaIr.

a b c (Å): 3.5327 3.5327 6.9253
angles (deg): 90.00 90.00 90.00
Last column: nearest neighbours and their distance in Å.
Positions (direct):
Dy 0.0000 0.0000 0.7661  4 Ir 2.98, 4 Ga 3.10, 1 Dy 3.24
Ir 0.5000 0.5000 0.0000  8 Dy 2.98
Ga 0.5000 0.5000 0.5000  8 Dy 3.10, 2 Ir 3.46
Dy 0.0000 0.0000 0.2339  4 Ir 2.98, 4 Ga 3.10, 1 Dy 3.24

- Total magnetic moment: 0.000 μB per atom
- Space-group type: P4/mmm
- Formation energy: -0.7229 eV per atom

(12)
VASP calculation (PBE-GGA) on a relaxed structure of DyGa3Ir2.

a b c (Å): 4.0144 8.6389 9.7234
angles (deg): 101.25 90.00 103.44
Last column: nearest neighbours and their distance in Å.
Positions (direct):
Ga 0.5000 0.0000 0.5000  4 Ir 2.48-2.59
Ga 0.0576 0.1152 0.3451  4 Ir 2.48-2.56
Ir 0.4871 0.9742 0.2300  5 Ga 2.48-2.68
Ga 0.3588 0.7176 0.8053  1 Ga 2.53, 4 Ir 2.56-2.68
Ir 0.6405 0.2810 0.4579  7 Ga 2.48-2.69
Ga 0.2258 0.4517 0.3737  4 Ir 2.50-2.69, 1 Ga 2.79
Dy 0.8462 0.6923 0.2893  4 Ga 3.00-3.07, 6 Ir 3.15-3.36
Ir 0.3595 0.7190 0.5421  7 Ga 2.48-2.69
Ir 0.5129 0.0258 0.7700  5 Ga 2.48-2.68
Ir 0.2085 0.4171 0.0926  6 Ga 2.51-2.69
Ir 0.7915 0.5829 0.9074  6 Ga 2.51-2.69
Dy 0.0000 0.0000 0.0000  4 Ir 3.05, 10 Ga 3.30-3.38
Ga 0.7742 0.5483 0.6263  4 Ir 2.50-2.69, 1 Ga 2.79
Ga 0.3536 0.7072 0.0630  4 Ir 2.49-2.60, 1 Ga 2.53
Ga 0.9424 0.8848 0.6549  4 Ir 2.48-2.56
Dy 0.1538 0.3077 0.7107  4 Ga 3.00-3.07, 6 Ir 3.15-3.36
Ga 0.6412 0.2824 0.1947  1 Ga 2.53, 4 Ir 2.56-2.68
Ga 0.6464 0.2928 0.9370  4 Ir 2.49-2.60, 1 Ga 2.53

- Total magnetic moment: 0.000 μB per atom
- Space-group type: C2/m
- Formation energy: -0.6298 eV per atom

Short version: mass density = 10.9; 9.5; 10.8; 9.7; 10.7; 14.9; 15.4; 10.7; 10.2; 11.3; 11.3; 11.7 Mg/m³, in the order given.
Short version: volume = 23.99; 22.10; 20.81; 27.24; 22.67; 17.20; 17.73; 24.58; 21.37; 21.22; 21.61; 17.85 Å³ per atom, in the order given.